Below is a relaxed NaTlAgHg2 crystal, with properties calculated at the GGA-PBE level.

Calculated values
ΔH_f (0 K) (eV per formula unit): 0.474
DFT total energy (eV for the cell shown): -6.7

a = 5.415 Å, b = 5.415 Å, c = 5.394 Å
α = 90.00°, β = 90.00°, γ = 90.00°
Space group P4/mmm (No. 123)
One atom of each set of equivalent atoms:
1 Na 0.000 0.000 0.000 x1
2 Tl 0.500 0.500 0.000 x1
3 Ag 0.000 0.000 0.500 x1
4 Hg 0.000 0.500 0.500 x2